VASP calculation (PBE) on crystalline BaGdMgSe3 at its relaxed geometry.

The calculation puts the total energy at -4.68 eV per atom. The crystal system is orthorhombic.

It has space group Cmcm (No. 63), with a = 4.226 Å, b = 14.572 Å, c = 10.960 Å, α = 90.00°, β = 90.00° and γ = 90.00°. The asymmetric unit holds Ba at (0.000, 0.248, 0.250), Gd at (0.000, 0.500, 0.000), Mg at (0.000, 0.032, 0.750), Se at (0.000, 0.137, 0.564) and Se at (0.000, 0.429, 0.750).